Density functional theory data (PBE) for a relaxed Hf2ZrPt crystal.

Cell: 4.791 4.791 4.791 Å, 60.00 60.00 60.00°
Each line ends with the local moment (μB).
Positions (direct):
Hf 0.250 0.250 0.250  0.12
Hf 0.750 0.750 0.750  0.12
Pt 0.500 0.500 0.500  0.05
Zr 0.000 0.000 0.000  0.41

Properties
Spin magnetization in μB/atom: 0.23
Density in g/cm3: 13.74
Crystal system: cubic
DOS(E_F) in states/eV/cell: 5.81
DFT formation energy in eV per atom: -0.392